VASP calculation (GGA-PBE) on crystalline Rb2HfCuS4 at its relaxed geometry.

**DFT total energy**: -80.0 eV for the cell shown
**Volume**: 425.6 Å³/cell
**Size of the total moment**: 0.0004 μB/atom

Cell: 7.7620 7.7620 7.5181 Å, 103.26 103.26 93.95°
Atoms (fractional coordinates):
1 Rb 0.0000 0.0000 0.0000
2 Rb 0.0000 0.0000 0.5000
3 Rb 0.0000 0.5000 0.0000
4 Rb 0.5000 0.0000 0.5000
5 Hf 0.5000 0.5000 0.0000
6 Hf 0.5000 0.5000 0.5000
7 Cu 0.0000 0.5000 0.5000
8 Cu 0.5000 0.0000 0.0000
9 S 0.2197 0.6668 0.4565
10 S 0.3055 0.3451 0.6689
11 S 0.3332 0.7803 0.0435
12 S 0.3451 0.3055 0.1689
13 S 0.6549 0.6945 0.8311
14 S 0.6668 0.2197 0.9565
15 S 0.6945 0.6549 0.3311
16 S 0.7803 0.3332 0.5435